VASP calculation (PBE) on a relaxed structure of Er5MgHg6.

Computed properties:
Symmetry: C2/m
ρ (g/cm³): 11.7
VASP energy (eV per atom): -2.6473
Energy of formation (eV/atom): -0.4623
Total magnetization (μB per atom): 0.00
N(E_F) (states/eV per atom): 0.569

Lattice parameters (Å, degrees): 8.937 8.937 5.126 106.24 106.24 48.73
Sites, in units of the cell vectors:
Er (0.000, 0.000, 0.000)
Er (0.168, 0.168, 0.668)
Er (0.337, 0.337, 0.338)
Er (0.663, 0.663, 0.662)
Er (0.832, 0.832, 0.332)
Mg (0.500, 0.500, 0.000)
Hg (0.091, 0.581, 0.836)
Hg (0.255, 0.745, 0.500)
Hg (0.419, 0.909, 0.164)
Hg (0.581, 0.091, 0.836)
Hg (0.745, 0.255, 0.500)
Hg (0.909, 0.419, 0.164)